# 1
# ZrRhSe2

A relaxed ZrRhSe2 crystal (PBEsol, Alexandria).

Summary:
- Symmetry: C2/m, No. 12
- Formation energy without anion corrections: -13.1 kcal/mol of atoms
- Excess energy over the best structure of this formula in the dataset: 0.2081 eV/atom
- Crystal system: monoclinic

Lattice parameters (Å, degrees): 3.583 4.031 5.906 104.95 90.00 116.39
Atoms (fractional coordinates):
1 Se 0.752 0.504 0.772
2 Se 0.248 0.496 0.228
3 Rh 0.500 0.000 0.000
4 Zr 0.000 0.000 0.500



# 2
# La3InOs

A relaxed La3InOs crystal (PBEsol, Alexandria).

Summary:
- ΔE_f: -144 meV per atom
- Symmetry: Pm-3m, No. 221
- Crystal system: cubic

Lattice parameters (Å, degrees): 5.467 5.467 5.467 90.00 90.00 90.00
Atoms (fractional coordinates):
1 Os 0.000 0.000 0.000
2 La 0.500 0.000 0.000
3 La 0.000 0.500 0.000
4 La 0.000 0.000 0.500
5 In 0.500 0.500 0.500



# 3
# Sc2TlPt

A relaxed Sc2TlPt crystal (PBEsol, Alexandria).

Summary:
- ΔE_f: -640 meV per atom
- Symmetry: Imm2, No. 44
- Crystal system: orthorhombic

Lattice parameters (Å, degrees): 3.363 4.624 5.958 112.83 106.39 90.00
Atoms (fractional coordinates):
1 Pt 0.260 0.760 0.520
2 Sc 0.748 0.248 0.496
3 Sc 0.960 0.960 0.920
4 Tl 0.532 0.532 0.064



# 4
# K3CoO2

A relaxed K3CoO2 crystal (PBEsol, Alexandria).

Summary:
- Symmetry: Pnma, No. 62
- Formation energy without anion corrections: -23.9 kcal/mol of atoms
- Crystal system: orthorhombic

Lattice parameters (Å, degrees): 5.914 7.246 11.704 90.00 90.00 90.00
Atoms (fractional coordinates):
1 O 0.465 0.750 0.783
2 O 0.410 0.250 0.526
3 O 0.590 0.750 0.474
4 O 0.910 0.750 0.974
5 O 0.090 0.250 0.026
6 O 0.535 0.250 0.217
7 O 0.965 0.250 0.717
8 O 0.035 0.750 0.283
9 Co 0.682 0.750 0.882
10 Co 0.818 0.750 0.382
11 Co 0.182 0.250 0.618
12 Co 0.318 0.250 0.118
13 K 0.788 0.250 0.404
14 K 0.832 0.000 0.139
15 K 0.668 0.000 0.639
16 K 0.332 0.000 0.361
17 K 0.168 0.500 0.861
18 K 0.168 0.000 0.861
19 K 0.712 0.250 0.904
20 K 0.832 0.500 0.139
21 K 0.332 0.500 0.361
22 K 0.288 0.750 0.096
23 K 0.668 0.500 0.639
24 K 0.212 0.750 0.596



# 5
# Mn3MoN

A relaxed Mn3MoN crystal (PBEsol, Alexandria).

Summary:
- Symmetry: Pm-3m, No. 221
- Formation energy without anion corrections: -5.1 kcal/mol of atoms
- Crystal system: cubic

Lattice parameters (Å, degrees): 3.726 3.726 3.726 90.00 90.00 90.00
Atoms (fractional coordinates):
1 N 0.000 0.000 0.000
2 Mn 0.000 0.500 0.000
3 Mn 0.500 0.000 0.000
4 Mn 0.000 0.000 0.500
5 Mo 0.500 0.500 0.500



# 6
# Ba2ZnBi2

A relaxed Ba2ZnBi2 crystal (PBEsol, Alexandria).

Summary:
- ΔE_f: -749 meV per atom
- Symmetry: Ibam, No. 72
- Crystal system: orthorhombic

Lattice parameters (Å, degrees): 7.070 7.265 8.768 114.47 113.78 90.00
Atoms (fractional coordinates):
1 Ba 0.635 0.926 0.269
2 Ba 0.865 0.657 0.731
3 Ba 0.365 0.074 0.731
4 Ba 0.135 0.343 0.269
5 Zn 0.250 0.500 0.000
6 Zn 0.750 0.500 0.000
7 Bi 0.886 0.177 0.772
8 Bi 0.386 0.596 0.772
9 Bi 0.114 0.823 0.228
10 Bi 0.614 0.404 0.228



# 7
# Cr2NiOs

A relaxed Cr2NiOs crystal (PBEsol, Alexandria).

Summary:
- ΔE_f: 201 meV per atom
- Symmetry: F-43m, No. 216
- Crystal system: cubic

Lattice parameters (Å, degrees): 4.069 4.069 4.069 60.00 60.00 60.00
Atoms (fractional coordinates):
1 Ni 0.500 0.500 0.500
2 Cr 0.000 0.000 0.000
3 Cr 0.750 0.750 0.750
4 Os 0.250 0.250 0.250



# 8
# ScCdRu2

A relaxed ScCdRu2 crystal (PBEsol, Alexandria).

Summary:
- ΔE_f: 168 meV per atom
- Symmetry: R-3m, No. 166
- Crystal system: trigonal

Lattice parameters (Å, degrees): 2.943 2.943 8.758 80.33 80.33 60.00
Atoms (fractional coordinates):
1 Sc 0.500 0.500 0.500
2 Ru 0.754 0.754 0.738
3 Ru 0.246 0.246 0.262
4 Cd 0.000 0.000 0.000



# 9
# K2ScAgF6

A relaxed K2ScAgF6 crystal (PBEsol, Alexandria).

Summary:
- Symmetry: Fm-3m, No. 225
- Formation energy without anion corrections: -66.8 kcal/mol of atoms
- Crystal system: cubic

Lattice parameters (Å, degrees): 6.161 6.161 6.161 60.00 60.00 60.00
Atoms (fractional coordinates):
1 F 0.230 0.770 0.230
2 F 0.230 0.770 0.770
3 F 0.230 0.230 0.770
4 F 0.770 0.770 0.230
5 F 0.770 0.230 0.230
6 F 0.770 0.230 0.770
7 K 0.750 0.750 0.750
8 K 0.250 0.250 0.250
9 Ag 0.500 0.500 0.500
10 Sc 0.000 0.000 0.000



# 10
# NiAs2SO

A relaxed NiAs2SO crystal (PBEsol, Alexandria).

Summary:
- Symmetry: P4/mmm, No. 123
- Formation energy without anion corrections: 6.3 kcal/mol of atoms
- Crystal system: tetragonal

Lattice parameters (Å, degrees): 3.564 4.566 4.566 90.00 90.00 90.00
Atoms (fractional coordinates):
1 As 0.000 0.500 0.000
2 As 0.000 0.000 0.500
3 Ni 0.500 0.000 0.000
4 S 0.500 0.500 0.500
5 O 0.000 0.000 0.000



# 11
# TbHg2

A relaxed TbHg2 crystal (PBEsol, Alexandria).

Summary:
- ΔE_f: -525 meV per atom
- Symmetry: P6/mmm, No. 191
- Crystal system: hexagonal

Lattice parameters (Å, degrees): 3.380 4.852 4.852 120.00 90.00 90.00
Atoms (fractional coordinates):
1 Tb 0.000 0.000 0.000
2 Hg 0.500 0.667 0.333
3 Hg 0.500 0.333 0.667



# 12
# BeTcO2

A relaxed BeTcO2 crystal (PBEsol, Alexandria).

Summary:
- Symmetry: R-3m, No. 166
- Formation energy without anion corrections: -25.3 kcal/mol of atoms
- Crystal system: trigonal

Lattice parameters (Å, degrees): 2.758 2.758 6.029 76.78 76.78 60.00
Atoms (fractional coordinates):
1 O 0.088 0.088 0.735
2 O 0.912 0.912 0.265
3 Be 0.000 0.000 0.000
4 Tc 0.500 0.500 0.500



Magnetization values, unit μB per formula unit, following the record order: 0.00, 0.00, 0.00, 2.00, 0.00, 0.00, 1.31, 0.00, 0.00, 0.00, 0.00, 0.00.
Total energy values, unit eV/atom, following the record order: -6.8014, -6.3916, -6.3412, -4.6410, -10.1386, -3.6387, -9.5133, -6.8687, -5.2736, -4.9292, -2.5733, -7.5389.